[1]
DFT (PBE) results for a relaxed structure of InRe2Cl.

Cell lengths 3.1117, 3.1117, 6.6782 Å; angles 90.00, 90.00, 90.00 degrees
With the nearest neighbours (Å) after each atom.
Fractional coordinates of all 4 atoms:
In1 0.5000 0.5000 0.7500  8 Re 2.89, 4 In 3.11
Cl1 0.5000 0.5000 0.2500  8 Re 2.64
Re1 0.0000 0.0000 0.0305  4 Cl 2.64, 4 In 2.89, 1 Re 2.93
Re2 0.0000 0.0000 0.4695  4 Cl 2.64, 4 In 2.89, 1 Re 2.93

uncorrected energy = -6.096 eV per atom
raw formation energy = 1274 meV/atom

[2]
DFT (PBE) results for a relaxed structure of InReCl2.

Cell lengths 8.8797, 8.8797, 8.8797 Å; angles 21.88, 21.88, 21.88 degrees
With the nearest neighbours (Å) after each atom.
Fractional coordinates of all 4 atoms:
Cl1 0.2328 0.2328 0.2328  3 In 2.72
In1 0.4930 0.4930 0.4930  3 Cl 2.72, 3 Re 2.83
Re1 0.7473 0.7473 0.7473  3 Cl 2.40
Cl2 0.0268 0.0268 0.0268  3 Re 2.40

uncorrected energy = -4.700 eV per atom
raw formation energy = 20 meV/atom

Number 1: relative energy among the computed polymorphs 1.1699 eV per atom. Number 2: relative energy among the computed polymorphs 0.0431 eV per atom.